(1)
Density functional theory data (PBE) for a geometry-optimized ZnCr2Pd8 structure.

Unit cell a=7.0502 b=7.0502 c=7.0502 alpha=145.42 beta=120.31 gamma=70.85
Sites, in units of the cell vectors:
1 Zn 0.0000 0.0000 0.0000
2 Cr 0.3015 0.3015 0.0000
3 Cr 0.6985 0.6985 0.0000
4 Pd 0.1298 0.8450 0.2848
5 Pd 0.1443 0.6443 0.5000
6 Pd 0.3110 0.5000 0.8111
7 Pd 0.4398 0.1550 0.2848
8 Pd 0.5602 0.8450 0.7152
9 Pd 0.6889 0.5000 0.1890
10 Pd 0.8557 0.3557 0.5000
11 Pd 0.8702 0.1550 0.7152

Values from the calculation:
E ... -5.72 eV per atom
Density of states at the Fermi level ... 1.073 states/eV per atom
Calculated volume ... 168.9 Å³/cell
Total magnetic moment ... 6.07 Bohr magnetons per cell
Formation energy from the elements ... -0.079 eV per atom
Crystal system ... orthorhombic

(2)
Density functional theory data (PBE) for a geometry-optimized CeZrOs structure.

Unit cell a=4.6824 b=4.6824 c=4.6824 alpha=60.00 beta=60.00 gamma=60.00
Sites, in units of the cell vectors:
1 Ce 0.0000 0.0000 0.0000
2 Zr 0.5000 0.5000 0.5000
3 Os 0.2500 0.2500 0.2500

Values from the calculation:
E ... -8.63 eV per atom
Density of states at the Fermi level ... 2.117 states/eV per atom
Calculated volume ... 72.6 Å³/cell
Total magnetic moment ... 0.68 Bohr magnetons per cell
Formation energy from the elements ... -0.055 eV per atom
E above lowest polymorph ... 0.078 eV/atom
Crystal system ... cubic

(3)
Density functional theory data (PBE) for a geometry-optimized Cs3Rb structure.

Unit cell a=10.7218 b=10.7218 c=8.6351 alpha=90.00 beta=90.00 gamma=120.00
Sites, in units of the cell vectors:
1 Cs 0.1685 0.3370 0.2500
2 Cs 0.1685 0.8315 0.2500
3 Cs 0.3370 0.1685 0.7500
4 Cs 0.6630 0.8315 0.2500
5 Cs 0.8315 0.1685 0.7500
6 Cs 0.8315 0.6630 0.7500
7 Rb 0.3333 0.6667 0.7500
8 Rb 0.6667 0.3333 0.2500

Values from the calculation:
E ... -0.88 eV per atom
Density of states at the Fermi level ... 1.156 states/eV per atom
Calculated volume ... 859.7 Å³/cell
Total magnetic moment ... 0.00 Bohr magnetons per cell
Formation energy from the elements ... 0.001 eV per atom
Crystal system ... hexagonal

(4)
Density functional theory data (PBE) for a geometry-optimized Sm5As4Se structure.

Unit cell a=7.2891 b=7.2891 c=7.2891 alpha=99.59 beta=99.59 gamma=131.82
Sites, in units of the cell vectors:
1 Sm 0.0000 0.0000 0.0000
2 Sm 0.1952 0.6021 0.7973
3 Sm 0.3979 0.1952 0.5932
4 Sm 0.6021 0.8048 0.4068
5 Sm 0.8048 0.3979 0.2027
6 As 0.1008 0.2986 0.3994
7 As 0.2986 0.8992 0.1978
8 As 0.7014 0.1008 0.8022
9 As 0.8992 0.7014 0.6006
10 Se 0.5000 0.5000 0.0000

Values from the calculation:
E ... -6.20 eV per atom
Density of states at the Fermi level ... 0.230 states/eV per atom
Calculated volume ... 263.5 Å³/cell
Total magnetic moment ... 0.00 Bohr magnetons per cell
E above lowest polymorph ... 0.000 eV/atom
Crystal system ... tetragonal

(5)
Density functional theory data (PBE) for a geometry-optimized SbAu2 structure.

Unit cell a=6.1211 b=6.1211 c=6.2925 alpha=108.98 beta=108.98 gamma=37.68
Sites, in units of the cell vectors:
1 Sb 0.1966 0.1966 0.1887
2 Sb 0.8034 0.8034 0.8113
3 Au 0.1053 0.1053 0.7230
4 Au 0.4156 0.4156 0.6412
5 Au 0.5844 0.5844 0.3588
6 Au 0.8947 0.8947 0.2770

Values from the calculation:
E ... -3.56 eV per atom
Density of states at the Fermi level ... 0.455 states/eV per atom
Calculated volume ... 135.3 Å³/cell
Total magnetic moment ... 0.00 Bohr magnetons per cell
Crystal system ... monoclinic

(6)
Density functional theory data (PBE) for a geometry-optimized Pr5DyEr2 structure.

Unit cell a=9.1697 b=9.1697 c=9.1697 alpha=119.10 beta=119.10 gamma=91.56
Sites, in units of the cell vectors:
1 Pr 0.0000 0.0000 0.0000
2 Pr 0.0137 0.5137 0.1999
3 Pr 0.1862 0.9863 0.5000
4 Pr 0.3138 0.8138 0.8001
5 Pr 0.4863 0.6862 0.5000
6 Pr 0.5000 0.5000 0.0000
7 Pr 0.5137 0.3138 0.5000
8 Pr 0.6862 0.1862 0.1999
9 Pr 0.8138 0.0137 0.5000
10 Pr 0.9863 0.4863 0.8001
11 Dy 0.2500 0.2500 0.0000
12 Dy 0.7500 0.7500 0.0000
13 Er 0.1454 0.3546 0.5000
14 Er 0.3546 0.8546 0.2092
15 Er 0.6454 0.1454 0.7909
16 Er 0.8546 0.6454 0.5000

Values from the calculation:
E ... -4.58 eV per atom
Density of states at the Fermi level ... 1.365 states/eV per atom
Calculated volume ... 552.4 Å³/cell
Total magnetic moment ... 0.77 Bohr magnetons per cell
Formation energy from the elements ... 0.118 eV per atom
E above lowest polymorph ... 0.000 eV/atom
Crystal system ... tetragonal

(7)
Density functional theory data (PBE) for a geometry-optimized RbAg2RhBr6 structure.

Unit cell a=7.2296 b=7.2305 c=7.8432 alpha=62.66 beta=62.59 gamma=60.09
Sites, in units of the cell vectors:
1 Rb 0.0000 0.0000 0.0000
2 Ag 0.2840 0.2847 0.1465
3 Ag 0.8146 0.8142 0.5582
4 Rh 0.4775 0.4780 0.5667
5 Br 0.1006 0.4662 0.7964
6 Br 0.2636 0.8521 0.3536
7 Br 0.4663 0.6387 0.7950
8 Br 0.5295 0.2638 0.3535
9 Br 0.6372 0.1017 0.7956
10 Br 0.8522 0.5305 0.3528

Values from the calculation:
E ... -3.00 eV per atom
Calculated volume ... 301.1 Å³/cell
Total magnetic moment ... 0.00 Bohr magnetons per cell
Crystal system ... triclinic

(8)
Density functional theory data (PBE) for a geometry-optimized CsMnRh3 structure.

Unit cell a=4.6597 b=4.6597 c=4.6597 alpha=90.00 beta=90.00 gamma=90.00
Sites, in units of the cell vectors:
1 Cs 0.0000 0.0000 0.0000
2 Mn 0.5000 0.5000 0.5000
3 Rh 0.0000 0.5000 0.5000
4 Rh 0.5000 0.0000 0.5000
5 Rh 0.5000 0.5000 0.0000

Values from the calculation:
E ... -5.45 eV per atom
Density of states at the Fermi level ... 0.949 states/eV per atom
Calculated volume ... 101.2 Å³/cell
Total magnetic moment ... 0.00 Bohr magnetons per cell
Formation energy from the elements ... 0.962 eV per atom
E above lowest polymorph ... 0.000 eV/atom
Crystal system ... cubic

Number 7 is which compound? RbAg2RhBr6